# Ir3BrO PBE-GGA optimized geometry
data_Ir3BrO
_chemical_formula_sum 'Ir3 Br1 O1'
_cell_length_a 4.258
_cell_length_b 4.258
_cell_length_c 4.258
_cell_angle_alpha 90.00
_cell_angle_beta 90.00
_cell_angle_gamma 90.00
_space_group_name_H-M_alt 'P m -3 m'
_space_group_IT_number 221
_space_group_name_Hall '-P 4 2 3'
loop_
_atom_site_label
_atom_site_fract_x
_atom_site_fract_y
_atom_site_fract_z
Ir1 0.000 0.000 0.500
Br1 0.500 0.500 0.500
O1 0.000 0.000 0.000
# **N(E_F)**: 2.08 states/eV/atom
# **Calculated density**: 14470 kg/m3
# **Energy**: -0.191 hartree per atom